Compound: KBa2Pt
Source: the Alexandria database
Functional: PBE-GGA
Structure: relaxed

The value obtained for the total magnetization is 0.000 μB per formula unit. As for the energy above the most stable polymorph in this dataset: 459 meV per atom. The calculation puts the density of states at the Fermi level at 3.686 states/eV per cell. The formation energy from the elements is -0.1 eV/f.u.

The space group is Pmmm (No. 47) and the conventional cell measures 4.736, 5.440 and 5.840 Å, with angles of 90.00, 90.00 and 90.00 degrees. The distinct sites, in fractional coordinates, are K at (0.000, 0.000, 0.000), Ba at (0.500, 0.000, 0.500), Ba at (0.500, 0.500, 0.000) and Pt at (0.000, 0.500, 0.500).



Compound: KBa8Pt4
Source: the Alexandria database
Functional: PBE-GGA
Structure: relaxed

The value obtained for the total magnetization is 0.000 μB per formula unit. The calculation puts the density of states at the Fermi level at 17.502 states/eV per cell. The formation energy from the elements is -7.6 eV/f.u.

The space group is C2/m (No. 12) and the conventional cell measures 22.679, 4.660 and 15.451 Å, with angles of 90.00, 131.15 and 90.00 degrees. The distinct sites, in fractional coordinates, are K at (0.000, 0.000, 0.000), Ba at (0.039, 0.000, 0.733), Ba at (0.136, 0.500, 0.595), Ba at (0.167, 0.500, 0.349), Ba at (0.212, 0.500, 0.071), Pt at (0.148, 0.000, 0.468) and Pt at (0.163, 0.500, 0.826).



Compound: KBa2Pt2
Source: the Alexandria database
Functional: PBE-GGA
Structure: relaxed

The value obtained for the total magnetization is 0.000 μB per formula unit. As for the energy above the most stable polymorph in this dataset: 86 meV per atom. The calculation puts the density of states at the Fermi level at 5.376 states/eV per cell. The formation energy from the elements is -2.0 eV/f.u.

The space group is P4/mbm (No. 127) and the conventional cell measures 9.141, 9.141 and 3.835 Å, with angles of 90.00, 90.00 and 90.00 degrees. The distinct sites, in fractional coordinates, are K at (0.000, 0.000, 0.000), Ba at (0.140, 0.360, 0.000) and Pt at (0.156, 0.656, 0.500).



Compound: K2BaPt
Source: the Alexandria database
Functional: PBE-GGA
Structure: relaxed

The value obtained for the total magnetization is 0.000 μB per formula unit. The calculation puts the density of states at the Fermi level at 3.674 states/eV per cell. The formation energy from the elements is -0.9 eV/f.u.

The space group is Cm (No. 8) and the conventional cell measures 8.028, 4.631 and 11.713 Å, with angles of 90.00, 102.73 and 90.00 degrees. The distinct sites, in fractional coordinates, are K at (0.000, 0.000, 0.000), K at (0.211, 0.000, 0.647), Ba at (0.281, 0.500, 0.348) and Pt at (0.490, 0.000, 0.478).



Compound: KBaPt2
Source: the Alexandria database
Functional: PBE-GGA
Structure: relaxed

The value obtained for the total magnetization is 0.000 μB per formula unit. The calculation puts the density of states at the Fermi level at 1.762 states/eV per cell. The formation energy from the elements is -0.4 eV/f.u.

The space group is Pmmm (No. 47) and the conventional cell measures 4.373, 4.884 and 4.917 Å, with angles of 90.00, 90.00 and 90.00 degrees. The distinct sites, in fractional coordinates, are K at (0.000, 0.000, 0.000), Ba at (0.000, 0.500, 0.500), Pt at (0.500, 0.000, 0.500) and Pt at (0.500, 0.500, 0.000).



Compound: K2Ba3Pt
Source: the Alexandria database
Functional: PBE-GGA
Structure: relaxed

The value obtained for the total magnetization is 0.000 μB per formula unit. The calculation puts the density of states at the Fermi level at 19.343 states/eV per cell. The formation energy from the elements is -1.2 eV/f.u.

The space group is Cmcm (No. 63) and the conventional cell measures 13.256, 10.998 and 9.420 Å, with angles of 90.00, 90.00 and 90.00 degrees. The distinct sites, in fractional coordinates, are K at (0.136, 0.198, 0.250), Ba at (0.000, 0.212, 0.750), Ba at (0.155, 0.500, 0.000) and Pt at (0.000, 0.499, 0.750).



Compound: K2BaPt
Source: the Alexandria database
Functional: PBE-GGA
Structure: relaxed

The value obtained for the total magnetization is 0.000 μB per formula unit. The calculation puts the density of states at the Fermi level at 1.824 states/eV per cell. The formation energy from the elements is -0.9 eV/f.u.

The space group is P4mm (No. 99) and the conventional cell measures 4.041, 4.041 and 11.562 Å, with angles of 90.00, 90.00 and 90.00 degrees. The distinct sites, in fractional coordinates, are K at (0.000, 0.000, 0.000), K at (0.500, 0.500, 0.346), Ba at (0.500, 0.500, 0.658) and Pt at (0.000, 0.000, 0.534).



Compound: KBa8Pt5
Source: the Alexandria database
Functional: PBE-GGA
Structure: relaxed

The value obtained for the total magnetization is 0.000 μB per formula unit. The calculation puts the density of states at the Fermi level at 18.714 states/eV per cell. The formation energy from the elements is -8.4 eV/f.u.

The space group is C2/m (No. 12) and the conventional cell measures 23.883, 4.641 and 11.477 Å, with angles of 90.00, 103.71 and 90.00 degrees. The distinct sites, in fractional coordinates, are K at (0.000, 0.000, 0.000), Ba at (0.075, 0.000, 0.654), Ba at (0.094, 0.500, 0.348), Ba at (0.176, 0.500, 0.988), Ba at (0.239, 0.500, 0.659), Pt at (0.000, 0.500, 0.500), Pt at (0.165, 0.000, 0.495) and Pt at (0.203, 0.000, 0.826).



Compound: KBa2Pt
Source: the Alexandria database
Functional: PBE-GGA
Structure: relaxed

The value obtained for the total magnetization is 0.000 μB per formula unit. As for the energy above the most stable polymorph in this dataset: 260 meV per atom. The calculation puts the density of states at the Fermi level at 17.680 states/eV per cell. The formation energy from the elements is -0.9 eV/f.u.

The space group is I-42d (No. 122) and the conventional cell measures 10.781, 10.781 and 7.077 Å, with angles of 90.00, 90.00 and 90.00 degrees. The distinct sites, in fractional coordinates, are K at (0.000, 0.000, 0.000), Ba at (0.116, 0.250, 0.625) and Pt at (0.000, 0.000, 0.500).



Compound: KBaPt2
Source: the Alexandria database
Functional: PBE-GGA
Structure: relaxed

The value obtained for the total magnetization is 0.000 μB per formula unit. The calculation puts the density of states at the Fermi level at 4.113 states/eV per cell. The formation energy from the elements is -0.3 eV/f.u.

The space group is I-42d (No. 122) and the conventional cell measures 8.543, 8.543 and 5.984 Å, with angles of 90.00, 90.00 and 90.00 degrees. The distinct sites, in fractional coordinates, are K at (0.000, 0.000, 0.000), Ba at (0.000, 0.000, 0.500) and Pt at (0.248, 0.250, 0.625).



Compound: K3Ba12Pt5
Source: the Alexandria database
Functional: PBE-GGA
Structure: relaxed

The value obtained for the total magnetization is 0.000 μB per formula unit. The calculation puts the density of states at the Fermi level at 110.510 states/eV per cell. The formation energy from the elements is -4.8 eV/f.u.

The space group is Ia-3d (No. 230) and the conventional cell measures 20.858, 20.858 and 20.858 Å, with angles of 90.00, 90.00 and 90.00 degrees. The distinct sites, in fractional coordinates, are K at (0.000, 0.250, 0.125), Ba at (0.042, 0.046, 0.641), Pt at (0.000, 0.000, 0.000) and Pt at (0.000, 0.250, 0.375).



Compound: K2BaPt
Source: the Alexandria database
Functional: PBE-GGA
Structure: relaxed

The value obtained for the total magnetization is 0.000 μB per formula unit. The calculation puts the density of states at the Fermi level at 6.215 states/eV per cell. The formation energy from the elements is -0.8 eV/f.u.

The space group is C2/m (No. 12) and the conventional cell measures 19.698, 4.075 and 4.843 Å, with angles of 90.00, 104.18 and 90.00 degrees. The distinct sites, in fractional coordinates, are K at (0.161, 0.000, 0.160), Ba at (0.000, 0.000, 0.500) and Pt at (0.000, 0.500, 0.000).